Model w:
Below is a relaxed Pu2HF8 crystal, with properties calculated at the PBE level.

Properties
Space-group type = C2/m (12)
Crystal system = monoclinic

Unit cell a=4.389 b=6.112 c=6.112 alpha=76.46 beta=88.01 gamma=88.01
Last column: magnetic moment on the atom in μB.
Element x y z (fractional)
Pu 0.980 0.764 0.764  3.90
Pu 0.020 0.236 0.236  3.90
H 0.000 0.000 0.000  -0.19
F 0.179 0.413 0.882  -0.05
F 0.821 0.118 0.587  -0.05
F 0.419 0.851 0.851  -0.06
F 0.581 0.149 0.149  -0.06
F 0.179 0.882 0.413  -0.05
F 0.821 0.587 0.118  -0.05
F 0.707 0.601 0.601  -0.07
F 0.293 0.399 0.399  -0.07

=====

Model x:
Below is a relaxed Pu2HF8 crystal, with properties calculated at the PBE level.

Properties
Space-group type = C2/m (12)
Crystal system = monoclinic

Unit cell a=4.454 b=6.536 c=6.536 alpha=116.30 beta=92.44 gamma=92.44
Last column: magnetic moment on the atom in μB.
Element x y z (fractional)
Pu 0.500 0.327 0.673  4.14
Pu 0.500 0.673 0.327  4.14
H 0.000 0.000 0.000  0.37
F 0.406 0.966 0.656  -0.04
F 0.406 0.656 0.966  -0.04
F 0.736 0.603 0.603  -0.03
F 0.000 0.709 0.291  -0.03
F 0.000 0.291 0.709  -0.03
F 0.264 0.397 0.397  -0.03
F 0.594 0.344 0.034  -0.04
F 0.594 0.034 0.344  -0.04

=====

Q: Which of them is the most stable? A: model x.

=====

Model w:
Below is a relaxed Rb2H2F5 crystal, with properties calculated at the PBE level.

Properties
Space-group type = C2/m (12)
Crystal system = monoclinic

Unit cell a=4.360 b=13.417 c=8.367 alpha=153.41 beta=90.00 gamma=99.35
Last column: magnetic moment on the atom in μB.
Element x y z (fractional)
Rb 0.469 0.939 0.675  0.00
Rb 0.531 0.061 0.325  0.00
H 0.264 0.528 0.829  0.00
H 0.736 0.472 0.171  0.00
F 0.351 0.702 0.030  0.01
F 0.649 0.298 0.970  0.01
F 0.165 0.330 0.621  0.19
F 0.835 0.670 0.379  0.19
F 0.000 0.000 0.000  0.50

=====

Model x:
Below is a relaxed Rb2H2F5 crystal, with properties calculated at the PBE level.

Properties
Space-group type = Ima2 (46)
Crystal system = orthorhombic

Unit cell a=6.929 b=4.982 c=9.425 alpha=105.32 beta=111.57 gamma=90.00
Last column: magnetic moment on the atom in μB.
Element x y z (fractional)
Rb 0.110 0.686 0.243  0.00
Rb 0.890 0.443 0.757  0.00
Rb 0.633 0.186 0.243  0.00
Rb 0.367 0.943 0.757  0.00
H 0.000 0.067 0.000  0.00
H 0.500 0.567 0.000  0.00
H 0.372 0.314 0.500  0.00
H 0.628 0.814 0.500  0.00
F 0.322 0.548 0.961  0.11
F 0.678 0.586 0.039  0.11
F 0.139 0.048 0.961  0.11
F 0.861 0.086 0.039  0.11
F 0.307 0.246 0.363  0.11
F 0.693 0.882 0.637  0.11
F 0.556 0.746 0.363  0.11
F 0.444 0.382 0.637  0.11
F 0.000 0.564 0.500  0.51
F 0.000 0.064 0.500  0.51

=====

Q: Which of them is the most stable? A: model w.